## TmLuCu2 (PBE-GGA)

Data for an optimized crystal structure of TmLuCu2.

Energy of formation: -0.2994 eV per atom
Density of states at the Fermi level: 0.523 states/eV per atom
Distance to the lowest polymorph of the same formula: 0.000 eV per formula unit
Symmetry: P4/mmm, No. 123

Cell: 3.3803 4.8304 4.8304 Å, 90.00 90.00 90.00°
Last column: nearest neighbours and their distance in Å.
Atoms (fractional coordinates):
Cu  0.0000  0.5000  0.0000  4 Lu 2.95, 4 Tm 2.95
Cu  0.0000  0.0000  0.5000  4 Tm 2.95, 4 Lu 2.95
Lu  0.5000  0.5000  0.5000  8 Cu 2.95
Tm  0.5000  0.0000  0.0000  8 Cu 2.95